# Dy3HoTh4 (PBE, optimized geometry)
data_Dy3HoTh4
_chemical_formula_sum 'Dy6 Ho2 Th8'
_cell_length_a 3.425
_cell_length_b 11.343
_cell_length_c 13.199
_cell_angle_alpha 90.00
_cell_angle_beta 90.00
_cell_angle_gamma 90.00
_symmetry_space_group_name_H-M 'I m m m'
_symmetry_Int_Tables_number 71
_symmetry_space_group_name_Hall '-I 2 2'
loop_
_atom_site_label
_atom_site_fract_x
_atom_site_fract_y
_atom_site_fract_z
Dy1 0.000 0.000 0.000
Dy2 0.000 0.500 0.234
Ho1 0.000 0.000 0.500
Th1 0.000 0.253 0.370
# ΔE_f (eV/atom): 0.137



# Rb2PbCl4 (PBE, optimized geometry)
data_Rb2PbCl4
_chemical_formula_sum 'Rb4 Pb2 Cl8'
_cell_length_a 8.168
_cell_length_b 13.449
_cell_length_c 4.563
_cell_angle_alpha 90.00
_cell_angle_beta 90.00
_cell_angle_gamma 90.00
_symmetry_space_group_name_H-M 'P b a m'
_symmetry_Int_Tables_number 55
loop_
_symmetry_equiv_pos_as_xyz
'x,y,z'
'-x,-y,-z'
'-x,-y,z'
'x,y,-z'
'x+1/2,-y+1/2,-z'
'-x+1/2,y+1/2,z'
'-x+1/2,y+1/2,-z'
'x+1/2,-y+1/2,z'
loop_
_atom_site_label
_atom_site_fract_x
_atom_site_fract_y
_atom_site_fract_z
Rb1 0.079 0.181 0.000
Pb1 0.000 0.500 0.500
Cl1 0.133 0.698 0.500
Cl2 0.223 0.453 0.000
# Offset from the most stable computed form (meV per atom): 0



| no. | raw total energy (eV/atom) |
| --- | --- |
| 1 | -5.871 |
| 2 | -3.500 |